A plane-wave DFT calculation with meta-GGA SCAN was carried out for a crystal of LaFeAg2 relaxed with PBEsol.

Results
Its formation energy is 0.32 eV per atom. The symmetry is No. 123.

a = 3.9529 Å, b = 3.9529 Å, c = 4.7085 Å
α = 90.00°, β = 90.00°, γ = 90.00°
Atoms (fractional coordinates):
Ag  0.0000  0.5000  0.0000
Ag  0.5000  0.0000  0.0000
Fe  0.5000  0.5000  0.5000
La  0.0000  0.0000  0.5000